A geometry-optimized Ba4Mg structure. Source: Alexandria via LeMat-Bulk, functional PBE.

distance to the lowest polymorph of the same formula: 506 meV per atom
density of states at the Fermi level: 8.866 states/eV/f.u.
VASP energy: -1.356 eV/atom

Structure (CIF):
```
data_Ba4Mg
_cell_length_a 7.330
_cell_length_b 7.330
_cell_length_c 10.378
_cell_angle_alpha 90.00
_cell_angle_beta 90.00
_cell_angle_gamma 90.00
_space_group_name_H-M_alt 'I 4/m m m'
_space_group_IT_number 139
_space_group_name_Hall '-I 4 2'
loop_
_atom_site_label
_atom_site_fract_x
_atom_site_fract_y
_atom_site_fract_z
Ba1 0.000 0.000 0.161
Ba2 0.000 0.500 0.250
Mg1 0.000 0.000 0.500
```